DFT (PBE) results for crystalline Th2ZrTaN5 at its relaxed geometry.

Output
- N(E_F) (states/eV/atom) = 0.377
- calculated total energy (eV/atom) = -10.00

abc: 3.4605 7.0851 10.6004
angles: 90.00 90.00 104.14
With the nearest neighbours (Å) after each atom.
Sites, in units of the cell vectors:
N: 0.3227 0.6455 0.3742  1 Ta 2.26, 2 Zr 2.30
N: 0.9486 0.8972 0.5577  2 Ta 2.02
N: 0.7201 0.4402 0.1550  2 Zr 2.33, 3 Th 2.36-2.48
N: 0.6233 0.2466 0.5036  1 Ta 2.12, 1 Zr 2.20
N: 0.3767 0.7534 0.0036  1 Ta 2.12, 1 Zr 2.20
N: 0.4890 0.9779 0.7811  1 Ta 2.01
N: 0.0514 0.1028 0.0577  2 Ta 2.02
N: 0.5110 0.0221 0.2811  1 Ta 2.01
N: 0.2799 0.5598 0.6550  2 Zr 2.33, 3 Th 2.36-2.48
N: 0.6773 0.3545 0.8742  1 Ta 2.26, 2 Zr 2.30
Th: 0.1098 0.2196 0.6887  6 N 2.36-2.62
Th: 0.8902 0.7804 0.1887  6 N 2.36-2.62
Th: 0.8539 0.7079 0.7919  5 N 2.48-2.58
Th: 0.1461 0.2921 0.2919  5 N 2.48-2.58
Ta: 0.5280 0.0561 0.9641  4 N 2.01-2.12
Ta: 0.4720 0.9439 0.4641  4 N 2.01-2.12
Zr: 0.7834 0.5668 0.5076  6 N 2.20-2.33
Zr: 0.2166 0.4332 0.0076  6 N 2.20-2.33

=====

DFT (PBE) results for crystalline AlPBrO2 at its relaxed geometry.

Output
- N(E_F) (states/eV/atom) = 0.851
- energy relative to the lowest polymorph listed for this composition (eV/f.u.) = 0.000

abc: 3.6030 3.6030 5.9876
angles: 90.00 90.00 90.00
With the nearest neighbours (Å) after each atom.
Sites, in units of the cell vectors:
P: 0.0000 0.0000 0.5000  4 Br 2.55
Al: 0.0000 0.0000 0.0000  4 O 1.80
O: 0.5000 0.0000 0.0000  2 Al 1.80
O: 0.0000 0.5000 0.0000  2 Al 1.80
Br: 0.5000 0.5000 0.5000  4 P 2.55

=====

DFT (PBE) results for crystalline LaPrCd2 at its relaxed geometry.

Output
- N(E_F) (states/eV/atom) = 1.155
- energy relative to the lowest polymorph listed for this composition (eV/f.u.) = 0.000

abc: 5.5287 5.5287 5.5287
angles: 60.00 60.00 60.00
With the nearest neighbours (Å) after each atom.
Sites, in units of the cell vectors:
La: 0.0000 0.0000 0.0000  8 Cd 3.39
Cd: 0.7500 0.7500 0.7500  4 La 3.39, 4 Pr 3.39
Cd: 0.2500 0.2500 0.2500  4 La 3.39, 4 Pr 3.39
Pr: 0.5000 0.5000 0.5000  8 Cd 3.39